[1]
Computed, not measured: Tb2EuTm after structural relaxation at the PBE-GGA level of DFT.

abc: 5.728 5.728 5.728
angles: 60.00 60.00 60.00
Sites, in units of the cell vectors:
Eu 0.000 0.000 0.000
Tm 0.500 0.500 0.500
Tb 0.250 0.250 0.250
Tb 0.750 0.750 0.750

Results
- Symmetry: No. 225
- Offset from the most stable computed form: 107 meV per atom
- Magnetic moment: 8.195 μB/f.u.
- Energy relative to the elements: 163 meV/atom


[2]
Computed, not measured: BaMg2I after structural relaxation at the PBE-GGA level of DFT.

abc: 5.983 5.983 5.983
angles: 60.00 60.00 60.00
Sites, in units of the cell vectors:
I 0.000 0.000 0.000
Mg 0.250 0.250 0.250
Mg 0.750 0.750 0.750
Ba 0.500 0.500 0.500

Results
- Symmetry: No. 225
- Offset from the most stable computed form: 203 meV per atom
- Magnetic moment: 0.000 μB/f.u.


[3]
Computed, not measured: Nd5PaN4 after structural relaxation at the PBE-GGA level of DFT.

abc: 3.600 7.387 8.129
angles: 101.85 102.79 90.00
Sites, in units of the cell vectors:
Nd 0.841 0.689 0.682
Nd 0.833 0.154 0.666
Nd 0.167 0.846 0.334
Nd 0.500 0.500 0.000
Nd 0.159 0.311 0.318
Pa 0.500 0.000 0.000
N 0.344 0.924 0.687
N 0.001 0.785 0.002
N 0.656 0.076 0.313
N 0.999 0.215 0.998

Results
- Symmetry: No. 12
- Total energy: -7.804 eV/atom
- Magnetic moment: 0.000 μB/f.u.


[4]
Computed, not measured: HfCu2Rh2 after structural relaxation at the PBE-GGA level of DFT.

abc: 3.362 3.362 7.258
angles: 76.61 76.61 90.00
Sites, in units of the cell vectors:
Rh 0.397 0.397 0.206
Rh 0.603 0.603 0.794
Hf 0.000 0.000 0.000
Cu 0.750 0.250 0.500
Cu 0.250 0.750 0.500

Results
- Symmetry: No. 139
- Offset from the most stable computed form: 0 meV per atom
- Magnetic moment: 0.000 μB/f.u.
- Energy relative to the elements: -281 meV/atom


[5]
Computed, not measured: Pm4CoCu after structural relaxation at the PBE-GGA level of DFT.

abc: 6.205 7.011 7.764
angles: 90.00 108.92 90.00
Sites, in units of the cell vectors:
Pm 0.559 0.250 0.399
Pm 0.441 0.750 0.601
Pm 0.563 0.250 0.879
Pm 0.437 0.750 0.121
Pm 0.990 0.003 0.266
Pm 0.010 0.503 0.734
Pm 0.990 0.497 0.266
Pm 0.010 0.997 0.734
Co 0.222 0.250 0.556
Co 0.778 0.750 0.444
Cu 0.202 0.250 0.050
Cu 0.798 0.750 0.950

Results
- Symmetry: No. 11
- Offset from the most stable computed form: 0 meV per atom
- Magnetic moment: 0.000 μB/f.u.
- Energy relative to the elements: -72 meV/atom


[6]
Computed, not measured: CsZnInBi2 after structural relaxation at the PBE-GGA level of DFT.

abc: 4.721 4.721 8.929
angles: 105.33 105.33 90.00
Sites, in units of the cell vectors:
Cs 0.000 0.000 0.000
Zn 0.750 0.250 0.500
In 0.250 0.750 0.500
Bi 0.640 0.640 0.279
Bi 0.360 0.360 0.721

Results
- Symmetry: No. 119
- Magnetic moment: 0.000 μB/f.u.
- Energy relative to the elements: -182 meV/atom


[7]
Computed, not measured: RbIn2Ru after structural relaxation at the PBE-GGA level of DFT.

abc: 5.182 5.182 5.182
angles: 60.00 60.00 60.00
Sites, in units of the cell vectors:
Ru 0.500 0.500 0.500
Rb 0.000 0.000 0.000
In 0.250 0.250 0.250
In 0.750 0.750 0.750

Results
- Symmetry: No. 225
- Offset from the most stable computed form: 334 meV per atom
- Magnetic moment: 0.001 μB/f.u.
- Energy relative to the elements: 710 meV/atom


[8]
Computed, not measured: NpAgHg2 after structural relaxation at the PBE-GGA level of DFT.

abc: 3.070 3.070 10.708
angles: 81.86 81.86 59.87
Sites, in units of the cell vectors:
Np 0.500 0.500 0.500
Ag 0.667 0.667 0.000
Hg 0.078 0.078 0.765
Hg 0.255 0.255 0.235

Results
- Symmetry: No. 8
- Magnetic moment: 3.762 μB/f.u.
- Energy relative to the elements: 165 meV/atom


Q: Which value of magnetic moment does entry 7 give?
A: 0.001 μB/f.u.